i) Material: Mn2SiGe
Method: DFT, GGA-PBE
State: relaxed

Computed properties:
V: 47.5 Å³ per cell
SG: No. 123
crystal system: tetragonal

Cell lengths 2.868, 2.868, 5.776 Å; angles 90.00, 90.00, 90.00 degrees
Atoms (fractional coordinates):
Mn (0.000, 0.000, 0.239)
Mn (0.000, 0.000, 0.761)
Si (0.500, 0.500, 0.000)
Ge (0.500, 0.500, 0.500)

***

ii) Material: Mn2SiGe
Method: DFT, GGA-PBE
State: relaxed

Computed properties:
V: 47.3 Å³ per cell
SG: No. 225
crystal system: cubic

Cell lengths 4.060, 4.060, 4.060 Å; angles 60.00, 60.00, 60.00 degrees
Atoms (fractional coordinates):
Mn (0.250, 0.250, 0.250)
Mn (0.750, 0.750, 0.750)
Si (0.000, 0.000, 0.000)
Ge (0.500, 0.500, 0.500)

***

Least stable: ii)

***

i) Material: Mn2Si2Ge
Method: DFT, GGA-PBE
State: relaxed

Computed properties:
V: 134.3 Å³ per cell
SG: No. 127
crystal system: tetragonal

Cell lengths 7.184, 7.184, 2.603 Å; angles 90.00, 90.00, 90.00 degrees
Atoms (fractional coordinates):
Mn (0.153, 0.347, 0.000)
Mn (0.347, 0.847, 0.000)
Mn (0.653, 0.153, 0.000)
Mn (0.847, 0.653, 0.000)
Si (0.138, 0.638, 0.500)
Si (0.362, 0.138, 0.500)
Si (0.638, 0.862, 0.500)
Si (0.862, 0.362, 0.500)
Ge (0.000, 0.000, 0.500)
Ge (0.500, 0.500, 0.500)

***

ii) Material: Mn2Si2Ge
Method: DFT, GGA-PBE
State: relaxed

Computed properties:
V: 127.5 Å³ per cell
SG: No. 127
crystal system: tetragonal

Cell lengths 6.514, 6.514, 3.004 Å; angles 90.00, 90.00, 90.00 degrees
Atoms (fractional coordinates):
Mn (0.156, 0.344, 0.000)
Mn (0.344, 0.844, 0.000)
Mn (0.656, 0.156, 0.000)
Mn (0.844, 0.656, 0.000)
Si (0.138, 0.638, 0.500)
Si (0.362, 0.138, 0.500)
Si (0.638, 0.862, 0.500)
Si (0.862, 0.362, 0.500)
Ge (0.000, 0.000, 0.000)
Ge (0.500, 0.500, 0.000)

***

Least stable: i)

***

i) Material: SmMn3Ge3
Method: DFT, GGA-PBE
State: relaxed

Computed properties:
V: 353.2 Å³ per cell
SG: No. 225
crystal system: cubic

Cell lengths 7.934, 7.934, 7.934 Å; angles 60.00, 60.00, 60.00 degrees
Atoms (fractional coordinates):
Sm (0.250, 0.250, 0.250)
Sm (0.750, 0.750, 0.750)
Mn (0.139, 0.139, 0.861)
Mn (0.139, 0.861, 0.139)
Mn (0.139, 0.861, 0.861)
Mn (0.861, 0.139, 0.139)
Mn (0.861, 0.139, 0.861)
Mn (0.861, 0.861, 0.139)
Ge (0.338, 0.338, 0.662)
Ge (0.338, 0.662, 0.338)
Ge (0.338, 0.662, 0.662)
Ge (0.662, 0.338, 0.338)
Ge (0.662, 0.338, 0.662)
Ge (0.662, 0.662, 0.338)

***

ii) Material: SmMn3Ge3
Method: DFT, GGA-PBE
State: relaxed

Computed properties:
V: 297.0 Å³ per cell
SG: No. 223
crystal system: cubic

Cell lengths 6.672, 6.672, 6.672 Å; angles 90.00, 90.00, 90.00 degrees
Atoms (fractional coordinates):
Sm (0.000, 0.000, 0.000)
Sm (0.500, 0.500, 0.500)
Mn (0.000, 0.250, 0.500)
Mn (0.000, 0.750, 0.500)
Mn (0.250, 0.500, 0.000)
Mn (0.500, 0.000, 0.250)
Mn (0.500, 0.000, 0.750)
Mn (0.750, 0.500, 0.000)
Ge (0.000, 0.500, 0.250)
Ge (0.000, 0.500, 0.750)
Ge (0.250, 0.000, 0.500)
Ge (0.500, 0.250, 0.000)
Ge (0.500, 0.750, 0.000)
Ge (0.750, 0.000, 0.500)

***

Least stable: i)

***

i) Material: Mn3SnGe
Method: DFT, GGA-PBE
State: relaxed

Computed properties:
V: 124.4 Å³ per cell
SG: No. 221
crystal system: cubic

Cell lengths 4.992, 4.992, 4.992 Å; angles 90.00, 90.00, 90.00 degrees
Atoms (fractional coordinates):
Mn (0.000, 0.000, 0.500)
Mn (0.000, 0.500, 0.000)
Mn (0.500, 0.000, 0.000)
Sn (0.000, 0.000, 0.000)
Ge (0.500, 0.500, 0.500)

***

ii) Material: Mn3SnGe
Method: DFT, GGA-PBE
State: relaxed

Computed properties:
V: 121.0 Å³ per cell
SG: No. 221
crystal system: cubic

Cell lengths 4.946, 4.946, 4.946 Å; angles 90.00, 90.00, 90.00 degrees
Atoms (fractional coordinates):
Mn (0.000, 0.000, 0.500)
Mn (0.000, 0.500, 0.000)
Mn (0.500, 0.000, 0.000)
Sn (0.500, 0.500, 0.500)
Ge (0.000, 0.000, 0.000)

***

Least stable: i)

***

i) Material: MnTcGe3
Method: DFT, GGA-PBE
State: relaxed

Computed properties:
V: 111.7 Å³ per cell
SG: No. 221
crystal system: cubic

Cell lengths 4.815, 4.815, 4.815 Å; angles 90.00, 90.00, 90.00 degrees
Atoms (fractional coordinates):
Mn (0.000, 0.000, 0.000)
Tc (0.500, 0.500, 0.500)
Ge (0.000, 0.500, 0.500)
Ge (0.500, 0.000, 0.500)
Ge (0.500, 0.500, 0.000)

***

ii) Material: MnTcGe3
Method: DFT, GGA-PBE
State: relaxed

Computed properties:
V: 325.6 Å³ per cell
SG: No. 15
crystal system: monoclinic

Cell lengths 8.940, 8.940, 4.288 Å; angles 102.88, 102.88, 88.14 degrees
Atoms (fractional coordinates):
Mn (0.082, 0.918, 0.750)
Mn (0.222, 0.778, 0.250)
Mn (0.778, 0.222, 0.750)
Mn (0.918, 0.082, 0.250)
Tc (0.198, 0.349, 0.539)
Tc (0.349, 0.198, 0.039)
Tc (0.651, 0.802, 0.961)
Tc (0.802, 0.651, 0.461)
Ge (0.059, 0.229, 0.907)
Ge (0.104, 0.622, 0.614)
Ge (0.229, 0.059, 0.407)
Ge (0.297, 0.492, 0.148)
Ge (0.378, 0.896, 0.886)
Ge (0.492, 0.297, 0.648)
Ge (0.508, 0.703, 0.352)
Ge (0.622, 0.104, 0.114)
Ge (0.703, 0.508, 0.852)
Ge (0.771, 0.941, 0.593)
Ge (0.896, 0.378, 0.386)
Ge (0.941, 0.771, 0.093)

***

Least stable: i)

***

i) Material: MnTc2Ge4
Method: DFT, GGA-PBE
State: relaxed

Computed properties:
V: 110.3 Å³ per cell
SG: No. 12
crystal system: monoclinic

Cell lengths 7.113, 7.113, 5.513 Å; angles 111.38, 111.38, 25.23 degrees
Atoms (fractional coordinates):
Mn (0.000, 0.000, 0.000)
Tc (0.249, 0.249, 0.253)
Tc (0.751, 0.751, 0.747)
Ge (0.115, 0.115, 0.780)
Ge (0.392, 0.392, 0.691)
Ge (0.608, 0.608, 0.309)
Ge (0.885, 0.885, 0.220)

***

ii) Material: MnTc2Ge4
Method: DFT, GGA-PBE
State: relaxed

Computed properties:
V: 129.4 Å³ per cell
SG: No. 139
crystal system: tetragonal

Cell lengths 6.969, 6.969, 6.969 Å; angles 141.63, 141.63, 55.38 degrees
Atoms (fractional coordinates):
Mn (0.000, 0.000, 0.000)
Tc (0.394, 0.394, 0.000)
Tc (0.606, 0.606, 0.000)
Ge (0.000, 0.500, 0.500)
Ge (0.193, 0.193, 0.000)
Ge (0.500, 0.000, 0.500)
Ge (0.807, 0.807, 0.000)

***

Least stable: ii)

***

i) Material: MnTl2GeTe4
Method: DFT, GGA-PBE
State: relaxed

Computed properties:
V: 257.9 Å³ per cell
SG: No. 121
crystal system: tetragonal

Cell lengths 7.012, 7.012, 7.012 Å; angles 104.24, 104.24, 120.54 degrees
Atoms (fractional coordinates):
Mn (0.000, 0.000, 0.000)
Tl (0.000, 0.500, 0.500)
Tl (0.500, 0.000, 0.500)
Ge (0.500, 0.500, 0.000)
Te (0.093, 0.432, 0.000)
Te (0.432, 0.093, 0.000)
Te (0.568, 0.568, 0.661)
Te (0.907, 0.907, 0.339)

***

ii) Material: MnTl2GeTe4
Method: DFT, GGA-PBE
State: relaxed

Computed properties:
V: 470.7 Å³ per cell
SG: No. 74
crystal system: orthorhombic

Cell lengths 8.726, 8.726, 8.726 Å; angles 121.46, 118.17, 90.34 degrees
Atoms (fractional coordinates):
Mn (0.500, 0.000, 0.000)
Mn (0.500, 0.500, 0.500)
Tl (0.000, 0.000, 0.000)
Tl (0.000, 0.000, 0.500)
Tl (0.000, 0.500, 0.000)
Tl (0.500, 0.000, 0.500)
Ge (0.000, 0.500, 0.500)
Ge (0.500, 0.500, 0.000)
Te (0.272, 0.292, 0.520)
Te (0.272, 0.752, 0.980)
Te (0.282, 0.741, 0.541)
Te (0.300, 0.259, 0.041)
Te (0.700, 0.741, 0.959)
Te (0.718, 0.259, 0.459)
Te (0.728, 0.248, 0.020)
Te (0.728, 0.708, 0.480)

***

Least stable: ii)

***

i) Material: ThMn2Ge2
Method: DFT, GGA-PBE
State: relaxed

Computed properties:
V: 182.8 Å³ per cell
SG: No. 2
crystal system: triclinic

Cell lengths 5.252, 5.422, 7.754 Å; angles 69.57, 80.56, 62.10 degrees
Atoms (fractional coordinates):
Th (0.250, 0.133, 0.235)
Th (0.750, 0.867, 0.765)
Mn (0.127, 0.253, 0.770)
Mn (0.373, 0.475, 0.771)
Mn (0.627, 0.525, 0.229)
Mn (0.873, 0.747, 0.230)
Ge (0.249, 0.517, 0.467)
Ge (0.250, 0.755, 0.990)
Ge (0.750, 0.245, 0.010)
Ge (0.751, 0.483, 0.533)

***

ii) Material: ThMn2Ge2
Method: DFT, GGA-PBE
State: relaxed

Computed properties:
V: 88.1 Å³ per cell
SG: No. 139
crystal system: tetragonal

Cell lengths 6.135, 6.135, 6.135 Å; angles 141.68, 141.68, 55.31 degrees
Atoms (fractional coordinates):
Th (0.000, 0.000, 0.000)
Mn (0.250, 0.750, 0.500)
Mn (0.750, 0.250, 0.500)
Ge (0.378, 0.378, 0.000)
Ge (0.622, 0.622, 0.000)

***

Least stable: i)

***

i) Material: TiMn4Ge2
Method: DFT, GGA-PBE
State: relaxed

Computed properties:
V: 119.7 Å³ per cell
SG: No. 139
crystal system: tetragonal

Cell lengths 7.347, 7.347, 7.347 Å; angles 146.61, 146.61, 47.94 degrees
Atoms (fractional coordinates):
Ti (0.000, 0.000, 0.000)
Mn (0.000, 0.500, 0.500)
Mn (0.191, 0.191, 0.000)
Mn (0.500, 0.000, 0.500)
Mn (0.809, 0.809, 0.000)
Ge (0.377, 0.377, 0.000)
Ge (0.623, 0.623, 0.000)

***

ii) Material: TiMn4Ge2
Method: DFT, GGA-PBE
State: relaxed

Computed properties:
V: 90.6 Å³ per cell
SG: No. 71
crystal system: orthorhombic

Cell lengths 8.942, 8.942, 8.942 Å; angles 162.67, 154.81, 30.74 degrees
Atoms (fractional coordinates):
Ti (0.000, 0.000, 0.000)
Mn (0.150, 0.150, 0.000)
Mn (0.271, 0.771, 0.500)
Mn (0.729, 0.229, 0.500)
Mn (0.850, 0.850, 0.000)
Ge (0.404, 0.404, 0.000)
Ge (0.596, 0.596, 0.000)

***

Least stable: i)

***

i) Material: TmMn3Ge3
Method: DFT, GGA-PBE
State: relaxed

Computed properties:
V: 292.6 Å³ per cell
SG: No. 223
crystal system: cubic

Cell lengths 6.638, 6.638, 6.638 Å; angles 90.00, 90.00, 90.00 degrees
Atoms (fractional coordinates):
Tm (0.000, 0.000, 0.000)
Tm (0.500, 0.500, 0.500)
Mn (0.000, 0.250, 0.500)
Mn (0.000, 0.750, 0.500)
Mn (0.250, 0.500, 0.000)
Mn (0.500, 0.000, 0.250)
Mn (0.500, 0.000, 0.750)
Mn (0.750, 0.500, 0.000)
Ge (0.000, 0.500, 0.250)
Ge (0.000, 0.500, 0.750)
Ge (0.250, 0.000, 0.500)
Ge (0.500, 0.250, 0.000)
Ge (0.500, 0.750, 0.000)
Ge (0.750, 0.000, 0.500)

***

ii) Material: TmMn3Ge3
Method: DFT, GGA-PBE
State: relaxed

Computed properties:
V: 355.6 Å³ per cell
SG: No. 225
crystal system: cubic

Cell lengths 7.952, 7.952, 7.952 Å; angles 60.00, 60.00, 60.00 degrees
Atoms (fractional coordinates):
Tm (0.250, 0.250, 0.250)
Tm (0.750, 0.750, 0.750)
Mn (0.139, 0.139, 0.861)
Mn (0.139, 0.861, 0.139)
Mn (0.139, 0.861, 0.861)
Mn (0.861, 0.139, 0.139)
Mn (0.861, 0.139, 0.861)
Mn (0.861, 0.861, 0.139)
Ge (0.339, 0.339, 0.661)
Ge (0.339, 0.661, 0.339)
Ge (0.339, 0.661, 0.661)
Ge (0.661, 0.339, 0.339)
Ge (0.661, 0.339, 0.661)
Ge (0.661, 0.661, 0.339)

***

Least stable: ii)

***

i) Material: UMn2Ge
Method: DFT, GGA-PBE
State: relaxed

Computed properties:
V: 120.7 Å³ per cell
SG: No. 11
crystal system: monoclinic

Cell lengths 4.401, 4.333, 6.557 Å; angles 90.00, 105.22, 90.00 degrees
Atoms (fractional coordinates):
U (0.163, 0.250, 0.211)
U (0.837, 0.750, 0.789)
Mn (0.298, 0.750, 0.516)
Mn (0.340, 0.750, 0.920)
Mn (0.660, 0.250, 0.080)
Mn (0.702, 0.250, 0.484)
Ge (0.299, 0.250, 0.706)
Ge (0.701, 0.750, 0.294)

***

ii) Material: UMn2Ge
Method: DFT, GGA-PBE
State: relaxed

Computed properties:
V: 57.9 Å³ per cell
SG: No. 123
crystal system: tetragonal

Cell lengths 4.158, 4.158, 3.350 Å; angles 90.00, 90.00, 90.00 degrees
Atoms (fractional coordinates):
U (0.000, 0.000, 0.000)
Mn (0.000, 0.500, 0.500)
Mn (0.500, 0.000, 0.500)
Ge (0.500, 0.500, 0.000)

***

Least stable: ii)